Entry from the Alexandria database: an optimized crystal structure of ErPaGe2O8 (PBE).

Properties
Raw total energy in eV/atom: -7.924

Unit cell a=7.0501 b=7.0501 c=6.4587 alpha=90.00 beta=90.00 gamma=90.00
Last column: nearest neighbours and their distance in Å.
Space group I-4m2 (No. 119)
Asymmetric unit:
Er 0.0000 0.0000 0.0000 x2  8 O 2.27-2.44
Pa 0.0000 0.5000 0.7500 x2  8 O 2.25-2.39
Ge 0.0000 0.0000 0.5000 x2  4 O 1.77
Ge 0.0000 0.5000 0.2500 x2  4 O 1.77
O 0.0000 0.1875 0.6822 x8  1 Ge 1.77
O 0.0000 0.3173 0.0618 x8  1 Ge 1.77

Entry from the Alexandria database: an optimized crystal structure of La4I5Cl (PBE).

Properties
Raw total energy in eV/atom: -4.304

Unit cell a=19.6130 b=4.1920 c=9.2133 alpha=90.00 beta=104.36 gamma=90.00
Last column: nearest neighbours and their distance in Å.
Space group C2/m (No. 12)
Asymmetric unit:
La 0.0050 0.0000 0.2859 x4  2 Cl 2.90, 1 I 3.21
La 0.1501 0.5000 0.5647 x4  1 Cl 2.85
I 0.0000 0.5000 0.0000 x2  4 La 3.35
I 0.1631 0.0000 0.8408 x4  3 La 3.21-3.26
I 0.1749 0.0000 0.3077 x4  4 La 3.29-3.34
Cl 0.0000 0.5000 0.5000 x2  6 La 2.85-2.90

Entry from the Alexandria database: an optimized crystal structure of Ti2Mn2Si (PBE).

Properties
Energy relative to the lowest polymorph listed for this composition in meV per atom: 0

Unit cell a=5.9274 b=5.9274 c=3.9565 alpha=90.00 beta=90.00 gamma=90.00
Last column: nearest neighbours and their distance in Å.
Space group P4/mbm (No. 127)
Asymmetric unit:
Ti 0.1836 0.3164 0.0000 x4  6 Mn 2.55-2.71
Mn 0.1239 0.6239 0.5000 x4  1 Mn 2.08
Si 0.0000 0.0000 0.5000 x2  4 Mn 2.35

Entry from the Alexandria database: an optimized crystal structure of Ca3YU2N6 (PBE).

Properties
Raw total energy in eV/atom: -8.450

Unit cell a=15.1320 b=3.5102 c=7.0108 alpha=90.00 beta=103.47 gamma=90.00
Last column: nearest neighbours and their distance in Å.
Space group C2/m (No. 12)
Asymmetric unit:
Ca 0.0000 0.0000 0.0000 x2  6 N 2.53-2.62
Ca 0.1662 0.5000 0.3336 x4  6 N 2.51-2.66
Y 0.0000 0.0000 0.5000 x2  6 N 2.42-2.45
U 0.1648 0.5000 0.8291 x4  6 N 2.21-2.38
N 0.0148 0.5000 0.7489 x4  1 U 2.21, 2 Y 2.45
N 0.1640 0.0000 0.6089 x4  2 U 2.34, 1 Y 2.42, 3 Ca 2.51-2.61
N 0.1774 0.0000 0.0626 x4  3 U 2.33-2.38

Entry from the Alexandria database: an optimized crystal structure of NiSbW2 (PBE).

Properties
Raw total energy in eV/atom: -8.587

Unit cell a=9.3396 b=3.1939 c=4.4605 alpha=90.00 beta=102.69 gamma=90.00
Last column: nearest neighbours and their distance in Å.
Space group C2/m (No. 12)
Asymmetric unit:
Ni 0.0000 0.0000 0.0000 x2  4 Sb 2.74, 6 W 2.79
Sb 0.0000 0.5000 0.5000 x2  4 Ni 2.74, 6 W 2.81-2.90
W 0.2452 0.5000 0.2293 x4  4 W 2.61-2.88, 3 Ni 2.79, 3 Sb 2.81-2.90

Entry from the Alexandria database: an optimized crystal structure of HfAlRh2 (PBE).

Properties
Raw total energy in eV/atom: -7.541

Unit cell a=6.8168 b=6.8168 c=5.8891 alpha=90.00 beta=90.00 gamma=90.00
Last column: nearest neighbours and their distance in Å.
Space group I-42d (No. 122)
Asymmetric unit:
Hf 0.0000 0.0000 0.0000 x4  4 Rh 2.62
Al 0.0000 0.0000 0.5000 x4  4 Rh 2.43
Rh 0.2296 0.2500 0.6250 x8  2 Al 2.43, 2 Hf 2.62

Entry from the Alexandria database: an optimized crystal structure of Na4Zr3CoS8 (PBE).

Properties
Raw total energy in eV/atom: -5.727

Unit cell a=7.3845 b=7.3845 c=20.1740 alpha=90.00 beta=90.00 gamma=120.00
Last column: nearest neighbours and their distance in Å.
Space group R-3m (No. 166, hexagonal axes)
Asymmetric unit:
Na 0.0000 0.0000 0.0000 x3  6 S 2.89
Na 0.0000 0.5000 0.0000 x9  6 S 2.82-2.85
Zr 0.0000 0.5000 0.5000 x9  6 S 2.60-2.61
Co 0.0000 0.0000 0.5000 x3  6 S 2.55
S 0.0000 0.0000 0.2417 x6  3 Zr 2.61, 3 Na 2.82
S 0.0056 0.5028 0.2388 x18  1 Co 2.55, 2 Zr 2.60, 2 Na 2.85

Entry from the Alexandria database: an optimized crystal structure of Li6BiPb2 (PBE).

Properties
Energy relative to the lowest polymorph listed for this composition in meV per atom: 0

Unit cell a=8.1743 b=8.1743 c=3.2867 alpha=90.00 beta=90.00 gamma=120.00
Last column: nearest neighbours and their distance in Å.
Space group P-62m (No. 189)
Asymmetric unit:
Li 0.0000 0.3649 0.0000 x3  1 Bi 2.98, 4 Pb 3.08, 8 Li 3.19-3.29
Li 0.0000 0.7092 0.5000 x3  2 Bi 2.89, 2 Pb 2.91, 4 Li 3.19
Bi 0.0000 0.0000 0.0000 x1  9 Li 2.89-2.98
Pb 0.3333 0.6667 0.5000 x2  9 Li 2.91-3.08